Entry 1:
DFT (GGA-PBE) results for Cd2InRh after structural relaxation.

Calculated volume, Å³/atom: 19.0
Uncorrected energy, eV per atom: -3.113
Spin magnetization, μB/cell: 0.00

a b c (Å): 5.428 5.428 5.428
angles (deg): 136.12 136.00 63.89
Fractional coordinates of all 4 atoms:
Cd 0.500 0.500 0.000
Cd 0.000 0.000 0.000
In 0.750 0.250 0.500
Rh 0.250 0.750 0.500

=====

Entry 2:
DFT (GGA-PBE) results for Zr2Fe3Ir after structural relaxation.

Calculated volume, Å³/atom: 15.3
Uncorrected energy, eV per atom: -8.992
Spin magnetization, μB/cell: 5.25

a b c (Å): 4.973 4.973 5.147
angles (deg): 90.01 118.91 119.95
Site moments in Bohr magnetons follow the coordinates.
Fractional coordinates of all 6 atoms:
Fe 0.000 0.000 0.500  2.02
Fe 0.500 0.000 0.500  2.02
Fe 0.500 0.500 0.500  2.02
Zr 0.754 0.377 0.132  -0.37
Zr 0.246 0.623 0.868  -0.37
Ir 0.000 0.000 0.000  0.23

=====

Entry 3:
DFT (GGA-PBE) results for Zr2NiAsPd after structural relaxation.

Calculated volume, Å³/atom: 22.6
Uncorrected energy, eV per atom: -6.120
Spin magnetization, μB/cell: 0.00

a b c (Å): 4.990 4.541 4.990
angles (deg): 90.00 90.00 90.00
Fractional coordinates of all 5 atoms:
Zr 0.500 0.000 0.000
Zr 0.000 0.000 0.500
Ni 0.000 0.500 0.000
Pd 0.000 0.000 0.000
As 0.500 0.500 0.500

=====

The lowest uncorrected energy belongs to which entry?
Zr2Fe3Ir